A plane-wave DFT calculation with PBE was carried out for a relaxed structure of K3RbO8.

Lattice parameters (Å, degrees): 6.8468 6.8468 6.8468 114.79 114.79 99.29
Last column: nearest neighbours and their distance in Å.
Element x y z (fractional)
K  0.0000  0.0000  0.0000  8 O 2.98
K  0.2500  0.7500  0.5000  8 O 2.69
K  0.7500  0.2500  0.5000  8 O 2.69
Rb  0.5000  0.5000  0.0000  8 O 3.09
O  0.0697  0.0697  0.4876  1 O 1.35
O  0.0697  0.5821  0.0000  1 O 1.35
O  0.4179  0.4179  0.4876  1 O 1.35
O  0.4179  0.9303  0.0000  1 O 1.35
O  0.5821  0.0697  0.0000  1 O 1.35
O  0.5821  0.5821  0.5124  1 O 1.35
O  0.9303  0.4179  0.0000  1 O 1.35
O  0.9303  0.9303  0.5124  1 O 1.35

Summary:
ΔE_f (raw) (eV per atom): -0.84
Total moment (μB/f.u.): 4.00
DFT total energy (eV per atom): -4.498
Crystal system: tetragonal